<A>
First-principles (PBE-GGA) data for a geometry-optimized AcTlHgBi structure, as listed in Alexandria.

Cell: 8.061 8.061 8.061 Å, 90.00 90.00 90.00°
Element x y z (fractional)
1 Ac 0.000 0.000 0.000
2 Ac 0.000 0.500 0.500
3 Ac 0.500 0.000 0.500
4 Ac 0.500 0.500 0.000
5 Tl 0.000 0.000 0.500
6 Tl 0.000 0.500 0.000
7 Tl 0.500 0.000 0.000
8 Tl 0.500 0.500 0.500
9 Hg 0.250 0.250 0.250
10 Hg 0.250 0.750 0.750
11 Hg 0.750 0.250 0.750
12 Hg 0.750 0.750 0.250
13 Bi 0.250 0.250 0.750
14 Bi 0.250 0.750 0.250
15 Bi 0.750 0.250 0.250
16 Bi 0.750 0.750 0.750

## Properties
density of states at the Fermi level	0.665	states/eV per atom

=====

<B>
First-principles (PBE-GGA) data for a geometry-optimized AcTlHgBi structure, as listed in Alexandria.

Cell: 5.211 5.211 9.474 Å, 90.00 90.00 90.00°
Element x y z (fractional)
1 Ac 0.000 0.000 0.000
2 Ac 0.500 0.500 0.500
3 Tl 0.000 0.000 0.500
4 Tl 0.500 0.500 0.000
5 Hg 0.000 0.500 0.750
6 Hg 0.500 0.000 0.250
7 Bi 0.000 0.500 0.250
8 Bi 0.500 0.000 0.750

## Properties
density of states at the Fermi level	0.626	states/eV per atom

=====

Least stable structure: <A>

=====

<A>
First-principles (PBE-GGA) data for a geometry-optimized AcHoBi structure, as listed in Alexandria.

Cell: 4.774 4.774 9.223 Å, 90.00 90.00 90.00°
Element x y z (fractional)
1 Ac 0.250 0.250 0.151
2 Ac 0.750 0.750 0.849
3 Ho 0.250 0.750 0.500
4 Ho 0.750 0.250 0.500
5 Bi 0.250 0.250 0.759
6 Bi 0.750 0.750 0.241

## Properties
density of states at the Fermi level	1.082	states/eV per atom

=====

<B>
First-principles (PBE-GGA) data for a geometry-optimized AcHoBi structure, as listed in Alexandria.

Cell: 4.156 4.156 12.145 Å, 90.00 90.00 90.00°
Element x y z (fractional)
1 Ac 0.000 0.000 0.000
2 Ac 0.500 0.500 0.500
3 Ho 0.000 0.000 0.298
4 Ho 0.500 0.500 0.798
5 Bi 0.000 0.000 0.684
6 Bi 0.500 0.500 0.184

## Properties
density of states at the Fermi level	0.880	states/eV per atom

=====

Least stable structure: <B>

=====

<A>
First-principles (PBE-GGA) data for a geometry-optimized AcHoBi2 structure, as listed in Alexandria.

Cell: 3.998 3.998 33.409 Å, 90.00 90.00 120.00°
Element x y z (fractional)
1 Ac 0.000 0.000 0.000
2 Ac 0.333 0.667 0.667
3 Ac 0.667 0.333 0.333
4 Ho 0.000 0.000 0.500
5 Ho 0.333 0.667 0.167
6 Ho 0.667 0.333 0.833
7 Bi 0.000 0.000 0.100
8 Bi 0.000 0.000 0.900
9 Bi 0.333 0.667 0.566
10 Bi 0.333 0.667 0.767
11 Bi 0.667 0.333 0.233
12 Bi 0.667 0.333 0.434

## Properties
density of states at the Fermi level	1.121	states/eV per atom

=====

<B>
First-principles (PBE-GGA) data for a geometry-optimized AcHoBi2 structure, as listed in Alexandria.

Cell: 8.076 8.076 8.076 Å, 90.00 90.00 90.00°
Element x y z (fractional)
1 Ac 0.000 0.000 0.000
2 Ac 0.000 0.500 0.500
3 Ac 0.500 0.000 0.500
4 Ac 0.500 0.500 0.000
5 Ho 0.000 0.000 0.500
6 Ho 0.000 0.500 0.000
7 Ho 0.500 0.000 0.000
8 Ho 0.500 0.500 0.500
9 Bi 0.250 0.250 0.250
10 Bi 0.250 0.250 0.750
11 Bi 0.250 0.750 0.250
12 Bi 0.250 0.750 0.750
13 Bi 0.750 0.250 0.250
14 Bi 0.750 0.250 0.750
15 Bi 0.750 0.750 0.250
16 Bi 0.750 0.750 0.750

## Properties
density of states at the Fermi level	0.636	states/eV per atom

=====

<C>
First-principles (PBE-GGA) data for a geometry-optimized AcHoBi2 structure, as listed in Alexandria.

Cell: 8.100 4.681 8.075 Å, 90.00 109.58 90.00°
Element x y z (fractional)
1 Ac 0.000 0.000 0.000
2 Ac 0.500 0.500 0.000
3 Ho 0.000 0.500 0.500
4 Ho 0.500 0.000 0.500
5 Bi 0.242 0.000 0.726
6 Bi 0.258 0.500 0.274
7 Bi 0.742 0.500 0.726
8 Bi 0.758 0.000 0.274

## Properties
density of states at the Fermi level	0.150	states/eV per atom

=====

<D>
First-principles (PBE-GGA) data for a geometry-optimized AcHoBi2 structure, as listed in Alexandria.

Cell: 4.240 4.240 7.208 Å, 90.00 90.00 90.00°
Element x y z (fractional)
1 Ac 0.000 0.000 0.000
2 Ho 0.000 0.000 0.500
3 Bi 0.500 0.500 0.269
4 Bi 0.500 0.500 0.731

## Properties
density of states at the Fermi level	0.582	states/eV per atom

=====

Least stable structure: <A>

=====

<A>
First-principles (PBE-GGA) data for a geometry-optimized AcHoBi2 structure, as listed in Alexandria.

Cell: 6.058 6.058 3.560 Å, 90.00 90.00 90.00°
Element x y z (fractional)
1 Ac 0.000 0.000 0.000
2 Ho 0.500 0.500 0.000
3 Bi 0.000 0.500 0.500
4 Bi 0.500 0.000 0.500

## Properties
density of states at the Fermi level	0.535	states/eV per atom

=====

<B>
First-principles (PBE-GGA) data for a geometry-optimized AcHoBi2 structure, as listed in Alexandria.

Cell: 4.646 4.646 15.384 Å, 90.00 90.00 120.00°
Element x y z (fractional)
1 Ac 0.333 0.667 0.250
2 Ac 0.667 0.333 0.750
3 Ho 0.000 0.000 0.000
4 Ho 0.000 0.000 0.500
5 Bi 0.333 0.667 0.611
6 Bi 0.333 0.667 0.889
7 Bi 0.667 0.333 0.111
8 Bi 0.667 0.333 0.389

## Properties
density of states at the Fermi level	0.163	states/eV per atom

=====

Least stable structure: <A>

=====

<A>
First-principles (PBE-GGA) data for a geometry-optimized Ac2HoBi structure, as listed in Alexandria.

Cell: 5.278 5.278 5.084 Å, 90.00 90.00 90.00°
Element x y z (fractional)
1 Ac 0.000 0.500 0.000
2 Ac 0.500 0.000 0.000
3 Ho 0.000 0.000 0.500
4 Bi 0.500 0.500 0.500

## Properties
density of states at the Fermi level	1.185	states/eV per atom

=====

<B>
First-principles (PBE-GGA) data for a geometry-optimized Ac2HoBi structure, as listed in Alexandria.

Cell: 3.705 3.705 38.568 Å, 90.00 90.00 120.00°
Element x y z (fractional)
1 Ac 0.000 0.000 0.091
2 Ac 0.000 0.000 0.909
3 Ac 0.333 0.667 0.576
4 Ac 0.333 0.667 0.758
5 Ac 0.667 0.333 0.242
6 Ac 0.667 0.333 0.424
7 Ho 0.000 0.000 0.000
8 Ho 0.333 0.667 0.667
9 Ho 0.667 0.333 0.333
10 Bi 0.000 0.000 0.500
11 Bi 0.333 0.667 0.167
12 Bi 0.667 0.333 0.833

## Properties
density of states at the Fermi level	1.698	states/eV per atom

=====

Least stable structure: <B>

=====

<A>
First-principles (PBE-GGA) data for a geometry-optimized Ac2BiI structure, as listed in Alexandria.

Cell: 4.181 4.181 8.222 Å, 90.00 90.00 90.00°
Element x y z (fractional)
1 Ac 0.000 0.000 0.234
2 Ac 0.000 0.000 0.766
3 Bi 0.500 0.500 0.000
4 I 0.500 0.500 0.500

## Properties
density of states at the Fermi level	1.013	states/eV per atom

=====

<B>
First-principles (PBE-GGA) data for a geometry-optimized Ac2BiI structure, as listed in Alexandria.

Cell: 4.608 4.608 26.500 Å, 90.00 90.00 120.00°
Element x y z (fractional)
1 Ac 0.000 0.000 0.000
2 Ac 0.000 0.000 0.183
3 Ac 0.333 0.667 0.667
4 Ac 0.333 0.667 0.850
5 Ac 0.667 0.333 0.333
6 Ac 0.667 0.333 0.517
7 Bi 0.000 0.000 0.591
8 Bi 0.333 0.667 0.257
9 Bi 0.667 0.333 0.924
10 I 0.000 0.000 0.759
11 I 0.333 0.667 0.426
12 I 0.667 0.333 0.093

## Properties
density of states at the Fermi level	0.572	states/eV per atom

=====

Least stable structure: <A>

=====

<A>
First-principles (PBE-GGA) data for a geometry-optimized Ac2BiI structure, as listed in Alexandria.

Cell: 4.616 4.616 31.795 Å, 90.00 90.00 120.00°
Element x y z (fractional)
1 Ac 0.000 0.000 0.102
2 Ac 0.000 0.000 0.898
3 Ac 0.333 0.667 0.564
4 Ac 0.333 0.667 0.769
5 Ac 0.667 0.333 0.231
6 Ac 0.667 0.333 0.436
7 Bi 0.000 0.000 0.500
8 Bi 0.333 0.667 0.167
9 Bi 0.667 0.333 0.833
10 I 0.000 0.000 0.000
11 I 0.333 0.667 0.667
12 I 0.667 0.333 0.333

## Properties
density of states at the Fermi level	0.692	states/eV per atom

=====

<B>
First-principles (PBE-GGA) data for a geometry-optimized Ac2BiI structure, as listed in Alexandria.

Cell: 8.282 8.282 8.282 Å, 90.00 90.00 90.00°
Element x y z (fractional)
1 Ac 0.250 0.250 0.250
2 Ac 0.250 0.250 0.750
3 Ac 0.250 0.750 0.250
4 Ac 0.250 0.750 0.750
5 Ac 0.750 0.250 0.250
6 Ac 0.750 0.250 0.750
7 Ac 0.750 0.750 0.250
8 Ac 0.750 0.750 0.750
9 Bi 0.000 0.000 0.000
10 Bi 0.000 0.500 0.500
11 Bi 0.500 0.000 0.500
12 Bi 0.500 0.500 0.000
13 I 0.000 0.000 0.500
14 I 0.000 0.500 0.000
15 I 0.500 0.000 0.000
16 I 0.500 0.500 0.500

## Properties
density of states at the Fermi level	0.823	states/eV per atom

=====

Least stable structure: <A>

=====

<A>
First-principles (PBE-GGA) data for a geometry-optimized Ac4BiI5 structure, as listed in Alexandria.

Cell: 10.391 11.349 7.686 Å, 90.00 90.00 90.00°
Element x y z (fractional)
1 Ac 0.054 0.250 0.029
2 Ac 0.250 0.010 0.649
3 Ac 0.250 0.490 0.649
4 Ac 0.446 0.250 0.029
5 Ac 0.554 0.750 0.971
6 Ac 0.750 0.510 0.351
7 Ac 0.750 0.990 0.351
8 Ac 0.946 0.750 0.971
9 Bi 0.250 0.750 0.818
10 Bi 0.750 0.250 0.182
11 I 0.060 0.545 0.252
12 I 0.060 0.955 0.252
13 I 0.250 0.250 0.379
14 I 0.440 0.545 0.252
15 I 0.440 0.955 0.252
16 I 0.560 0.045 0.748
17 I 0.560 0.455 0.748
18 I 0.750 0.750 0.621
19 I 0.940 0.045 0.748
20 I 0.940 0.455 0.748

## Properties
density of states at the Fermi level	0.525	states/eV per atom

=====

<B>
First-principles (PBE-GGA) data for a geometry-optimized Ac4BiI5 structure, as listed in Alexandria.

Cell: 10.229 10.229 10.224 Å, 97.02 97.02 25.01°
Element x y z (fractional)
1 Ac 0.004 0.004 0.237
2 Ac 0.330 0.330 0.937
3 Ac 0.670 0.670 0.063
4 Ac 0.996 0.996 0.763
5 Bi 0.500 0.500 0.000
6 I 0.164 0.164 0.798
7 I 0.171 0.171 0.321
8 I 0.500 0.500 0.500
9 I 0.829 0.829 0.679
10 I 0.836 0.836 0.202

## Properties
density of states at the Fermi level	0.542	states/eV per atom

=====

Least stable structure: <A>